# MgNiMo

A geometry-optimized MgNiMo structure (PBE, the Alexandria database).

Cell: 5.279 5.279 4.194 Å, 90.00 90.00 131.05°
Sites, in units of the cell vectors:
1 Mg 0.099 0.901 0.750
2 Mg 0.901 0.099 0.250
3 Ni 0.245 0.755 0.250
4 Ni 0.755 0.245 0.750
5 Mo 0.414 0.586 0.750
6 Mo 0.586 0.414 0.250

For the total DFT energy (no corrections), the calculation gives -17.80 eV/f.u. The value obtained for the calculated volume is 14.69 Å³/atom. Its energy above the most stable polymorph in this dataset is 0.376 eV per formula unit. The total magnetization is 0.00 μB per formula unit. The value obtained for the formation enthalpy at 0 K is 0.135 eV/atom.